No. 1
## ZnIn2 (PBE)

Data for ZnIn2 after structural relaxation. Values from VASP.

density: 6.997 g/cm³
E_form: 101 meV/atom
space group: Immm (71)
spin magnetization: 0.00 μB/atom

Structure (Quantum ESPRESSO input):
```
&SYSTEM
  ibrav = 0, nat = 6, ntyp = 2
/
ATOMIC_SPECIES
Zn 65.41 Zn.upf
In 114.82 In.upf
ATOMIC_POSITIONS crystal
Zn 0.000 0.000 0.000
Zn 0.500 0.500 0.500
In 0.000 0.000 0.344
In 0.000 0.000 0.656
In 0.500 0.500 0.156
In 0.500 0.500 0.844
CELL_PARAMETERS angstrom
3.196 0.000 0.000
0.000 4.260 0.000
0.000 0.000 10.286
```

No. 2
## Zn13In (PBE)

Data for Zn13In after structural relaxation. Values from VASP.

density: 6.863 g/cm³
E_form: 29 meV/atom
space group: Fm-3c (226)
spin magnetization: 0.00 μB/atom

Structure (Quantum ESPRESSO input):
```
&SYSTEM
  ibrav = 0, nat = 28, ntyp = 2
/
ATOMIC_SPECIES
Zn 65.41 Zn.upf
In 114.82 In.upf
ATOMIC_POSITIONS crystal
Zn 0.000 0.000 0.000
Zn 0.062 0.300 0.700
Zn 0.062 0.700 0.938
Zn 0.062 0.938 0.300
Zn 0.200 0.438 0.800
Zn 0.200 0.562 0.438
Zn 0.200 0.800 0.562
Zn 0.300 0.062 0.938
Zn 0.300 0.700 0.062
Zn 0.300 0.938 0.700
Zn 0.438 0.200 0.562
Zn 0.438 0.562 0.800
Zn 0.438 0.800 0.200
Zn 0.500 0.500 0.500
Zn 0.562 0.200 0.800
Zn 0.562 0.438 0.200
Zn 0.562 0.800 0.438
Zn 0.700 0.062 0.300
Zn 0.700 0.300 0.938
Zn 0.700 0.938 0.062
Zn 0.800 0.200 0.438
Zn 0.800 0.438 0.562
Zn 0.800 0.562 0.200
Zn 0.938 0.062 0.700
Zn 0.938 0.300 0.062
Zn 0.938 0.700 0.300
In 0.250 0.250 0.250
In 0.750 0.750 0.750
CELL_PARAMETERS angstrom
0.000 6.158 6.158
6.158 0.000 6.158
6.158 6.158 0.000
```

No. 3
## ZnIn2 (PBE)

Data for ZnIn2 after structural relaxation. Values from VASP.

density: 6.011 g/cm³
E_form: 321 meV/atom
space group: Fd-3m (227)
spin magnetization: 0.00 μB/atom

Structure (Quantum ESPRESSO input):
```
&SYSTEM
  ibrav = 0, nat = 6, ntyp = 2
/
ATOMIC_SPECIES
Zn 65.41 Zn.upf
In 114.82 In.upf
ATOMIC_POSITIONS crystal
Zn 0.125 0.125 0.125
Zn 0.875 0.875 0.875
In 0.000 0.500 0.500
In 0.500 0.000 0.500
In 0.500 0.500 0.000
In 0.500 0.500 0.500
CELL_PARAMETERS angstrom
0.000 4.336 4.336
4.336 0.000 4.336
4.336 4.336 0.000
```

No. 4
## ZnIn (PBE)

Data for ZnIn after structural relaxation. Values from VASP.

density: 6.831 g/cm³
E_form: 132 meV/atom
space group: P2_13 (198)
spin magnetization: 0.00 μB/atom

Structure (Quantum ESPRESSO input):
```
&SYSTEM
  ibrav = 0, nat = 8, ntyp = 2
/
ATOMIC_SPECIES
Zn 65.41 Zn.upf
In 114.82 In.upf
ATOMIC_POSITIONS crystal
Zn 0.094 0.094 0.094
Zn 0.406 0.906 0.594
Zn 0.594 0.406 0.906
Zn 0.906 0.594 0.406
In 0.091 0.591 0.909
In 0.409 0.409 0.409
In 0.591 0.909 0.091
In 0.909 0.091 0.591
CELL_PARAMETERS angstrom
5.596 0.000 0.000
0.000 5.596 0.000
0.000 0.000 5.596
```

No. 5
## ZnIn (PBE)

Data for ZnIn after structural relaxation. Values from VASP.

density: 6.525 g/cm³
E_form: 116 meV/atom
space group: Pmmn (59)
spin magnetization: 0.00 μB/atom

Structure (Quantum ESPRESSO input):
```
&SYSTEM
  ibrav = 0, nat = 12, ntyp = 2
/
ATOMIC_SPECIES
Zn 65.41 Zn.upf
In 114.82 In.upf
ATOMIC_POSITIONS crystal
Zn 0.250 0.130 0.209
Zn 0.250 0.370 0.209
Zn 0.250 0.750 0.691
Zn 0.750 0.250 0.309
Zn 0.750 0.630 0.791
Zn 0.750 0.870 0.791
In 0.250 0.250 0.702
In 0.250 0.590 0.170
In 0.250 0.910 0.170
In 0.750 0.090 0.830
In 0.750 0.410 0.830
In 0.750 0.750 0.298
CELL_PARAMETERS angstrom
4.644 0.000 0.000
0.000 12.314 0.000
0.000 0.000 4.812
```

No. 6
## Zn3In5 (PBE)

Data for Zn3In5 after structural relaxation. Values from VASP.

density: 6.885 g/cm³
E_form: 80 meV/atom
space group: P-1 (2)
spin magnetization: 0.00 μB/atom

Structure (Quantum ESPRESSO input):
```
&SYSTEM
  ibrav = 0, nat = 16, ntyp = 2
/
ATOMIC_SPECIES
Zn 65.41 Zn.upf
In 114.82 In.upf
ATOMIC_POSITIONS crystal
Zn 0.189 0.494 0.192
Zn 0.265 0.005 0.993
Zn 0.301 0.810 0.504
Zn 0.699 0.190 0.496
Zn 0.735 0.995 0.007
Zn 0.811 0.506 0.808
In 0.042 0.126 0.704
In 0.131 0.708 0.877
In 0.251 0.455 0.544
In 0.363 0.128 0.303
In 0.450 0.311 0.873
In 0.550 0.689 0.127
In 0.637 0.872 0.697
In 0.749 0.545 0.456
In 0.869 0.292 0.123
In 0.958 0.874 0.296
CELL_PARAMETERS angstrom
6.079 0.000 0.000
1.956 7.790 0.000
2.046 0.248 7.846
```

No. 7
## ZnIn2 (PBE)

Data for ZnIn2 after structural relaxation. Values from VASP.

density: 7.023 g/cm³
E_form: 74 meV/atom
space group: I4/mmm (139)
spin magnetization: 0.00 μB/atom

Structure (Quantum ESPRESSO input):
```
&SYSTEM
  ibrav = 0, nat = 6, ntyp = 2
/
ATOMIC_SPECIES
Zn 65.41 Zn.upf
In 114.82 In.upf
ATOMIC_POSITIONS crystal
Zn 0.000 0.000 0.000
Zn 0.500 0.500 0.500
In 0.000 0.000 0.347
In 0.000 0.000 0.653
In 0.500 0.500 0.153
In 0.500 0.500 0.847
CELL_PARAMETERS angstrom
3.255 0.000 0.000
0.000 3.255 0.000
0.000 0.000 13.168
```

No. 8
## ZnIn (PBE)

Data for ZnIn after structural relaxation. Values from VASP.

density: 6.966 g/cm³
E_form: 76 meV/atom
space group: P2_1/m (11)
spin magnetization: 0.00 μB/atom

Structure (Quantum ESPRESSO input):
```
&SYSTEM
  ibrav = 0, nat = 4, ntyp = 2
/
ATOMIC_SPECIES
Zn 65.41 Zn.upf
In 114.82 In.upf
ATOMIC_POSITIONS crystal
Zn 0.206 0.250 0.412
Zn 0.794 0.750 0.588
In 0.419 0.250 0.832
In 0.581 0.750 0.168
CELL_PARAMETERS angstrom
3.094 0.000 0.000
0.000 3.510 0.000
-1.546 0.000 7.911
```

No. 9
## ZnIn (PBE)

Data for ZnIn after structural relaxation. Values from VASP.

density: 6.742 g/cm³
E_form: 195 meV/atom
space group: Fd-3m (227)
spin magnetization: 0.00 μB/atom

Structure (Quantum ESPRESSO input):
```
&SYSTEM
  ibrav = 0, nat = 16, ntyp = 2
/
ATOMIC_SPECIES
Zn 65.41 Zn.upf
In 114.82 In.upf
ATOMIC_POSITIONS crystal
Zn 0.125 0.125 0.125
Zn 0.125 0.625 0.625
Zn 0.375 0.375 0.875
Zn 0.375 0.875 0.375
Zn 0.625 0.125 0.625
Zn 0.625 0.625 0.125
Zn 0.875 0.375 0.375
Zn 0.875 0.875 0.875
In 0.125 0.125 0.625
In 0.125 0.625 0.125
In 0.375 0.375 0.375
In 0.375 0.875 0.875
In 0.625 0.125 0.125
In 0.625 0.625 0.625
In 0.875 0.375 0.875
In 0.875 0.875 0.375
CELL_PARAMETERS angstrom
7.082 0.000 0.000
0.000 7.082 0.000
0.000 0.000 7.082
```

No. 10
## ZnIn (PBE)

Data for ZnIn after structural relaxation. Values from VASP.

density: 7.020 g/cm³
E_form: 121 meV/atom
space group: I4_1/amd (141)
spin magnetization: 0.00 μB/atom

Structure (Quantum ESPRESSO input):
```
&SYSTEM
  ibrav = 0, nat = 8, ntyp = 2
/
ATOMIC_SPECIES
Zn 65.41 Zn.upf
In 114.82 In.upf
ATOMIC_POSITIONS crystal
Zn 0.000 0.250 0.375
Zn 0.000 0.750 0.625
Zn 0.500 0.250 0.125
Zn 0.500 0.750 0.875
In 0.000 0.250 0.875
In 0.000 0.750 0.125
In 0.500 0.250 0.625
In 0.500 0.750 0.375
CELL_PARAMETERS angstrom
4.262 0.000 0.000
0.000 4.262 0.000
0.000 0.000 9.386
```

No. 11
## ZnIn (PBE)

Data for ZnIn after structural relaxation. Values from VASP.

density: 6.757 g/cm³
E_form: 91 meV/atom
space group: Pmn2_1 (31)
spin magnetization: 0.00 μB/atom

Structure (Quantum ESPRESSO input):
```
&SYSTEM
  ibrav = 0, nat = 12, ntyp = 2
/
ATOMIC_SPECIES
Zn 65.41 Zn.upf
In 114.82 In.upf
ATOMIC_POSITIONS crystal
Zn 0.000 0.125 0.000
Zn 0.109 0.595 0.256
Zn 0.391 0.405 0.756
Zn 0.500 0.875 0.500
Zn 0.609 0.405 0.756
Zn 0.891 0.595 0.256
In 0.000 0.058 0.579
In 0.219 0.891 0.892
In 0.281 0.109 0.392
In 0.500 0.942 0.079
In 0.719 0.109 0.392
In 0.781 0.891 0.892
CELL_PARAMETERS angstrom
11.770 0.000 0.000
0.000 3.432 0.000
0.000 0.000 6.580
```

No. 12
## Zn5In3 (PBE)

Data for Zn5In3 after structural relaxation. Values from VASP.

density: 7.110 g/cm³
E_form: 124 meV/atom
space group: Cmmm (65)
spin magnetization: 0.00 μB/atom

Structure (Quantum ESPRESSO input):
```
&SYSTEM
  ibrav = 0, nat = 16, ntyp = 2
/
ATOMIC_SPECIES
Zn 65.41 Zn.upf
In 114.82 In.upf
ATOMIC_POSITIONS crystal
Zn 0.000 0.000 0.000
Zn 0.247 0.000 0.500
Zn 0.250 0.250 0.000
Zn 0.250 0.750 0.000
Zn 0.253 0.500 0.500
Zn 0.500 0.500 0.000
Zn 0.747 0.500 0.500
Zn 0.750 0.250 0.000
Zn 0.750 0.750 0.000
Zn 0.753 0.000 0.500
In 0.000 0.234 0.500
In 0.000 0.500 0.000
In 0.000 0.766 0.500
In 0.500 0.000 0.000
In 0.500 0.266 0.500
In 0.500 0.734 0.500
CELL_PARAMETERS angstrom
8.244 0.000 0.000
0.000 8.915 0.000
0.000 0.000 4.267
```